First-principles (PBE) data for a relaxed structure of NdTh5Sc4, as listed in Alexandria.

Values from the calculation:
* uncorrected energy: -6.675 eV per atom
* calculated formation energy: 0.44 eV/f.u.
* symmetry: P4/mmm (123)

a b c (Å): 3.490 3.490 24.191
angles (deg): 90.00 90.00 90.00
Sites, in units of the cell vectors:
Sc 0.000 0.000 0.597
Sc 0.000 0.000 0.403
Nd 0.000 0.000 0.000
Sc 0.000 0.000 0.208
Th 0.500 0.500 0.889
Th 0.500 0.500 0.306
Th 0.500 0.500 0.694
Sc 0.000 0.000 0.792
Th 0.500 0.500 0.500
Th 0.500 0.500 0.111